[1]
VASP calculation (GGA-PBE) on a relaxed La2InSiI crystal.

a b c (Å): 5.865 5.865 4.970
angles (deg): 90.00 90.00 90.00
Space group P4/mmm (No. 123)
One atom of each set of equivalent atoms:
La 0.000 0.500 0.000
In 0.000 0.000 0.500
Si 0.000 0.000 0.000
I 0.500 0.500 0.500

The uncorrected formation energy is -0.325 eV/atom.

[2]
VASP calculation (GGA-PBE) on a relaxed La4InSiI2 crystal.

a b c (Å): 8.056 4.451 8.089
angles (deg): 90.00 108.09 90.00
Space group P2/m (No. 10)
One atom of each set of equivalent atoms:
La 0.223 0.000 0.209
La 0.242 0.500 0.777
In 0.500 0.000 0.000
Si 0.000 0.500 0.000
I 0.000 0.000 0.500
I 0.500 0.500 0.500

The uncorrected formation energy is -0.851 eV/atom.

| no. | E_tot (eV per atom) |
| --- | --- |
| 1 | -4.239 |
| 2 | -4.722 |